Here is a relaxed Na2Cu2ReO6 crystal from Alexandria via LeMat-Bulk. Energies are from PBE.

a = 5.543 Å, b = 5.543 Å, c = 6.117 Å
α = 90.00°, β = 90.00°, γ = 120.00°
Each line ends with the local moment (μB).
Fractional positions:
O1 0.258 0.959 0.817  0.08
O2 0.959 0.702 0.183  0.08
O3 0.041 0.298 0.817  0.08
O4 0.742 0.041 0.183  0.08
O5 0.298 0.258 0.183  0.08
O6 0.702 0.742 0.817  0.08
Cu1 0.667 0.333 0.183  0.32
Cu2 0.333 0.667 0.817  0.32
Na1 0.333 0.667 0.312  0.00
Na2 0.667 0.333 0.688  0.00
Re1 0.000 0.000 0.000  -0.10

## Properties
Its crystal system is trigonal. The calculation puts the raw total energy at -65.8 eV/f.u. The uncorrected formation energy is -1.1631 eV per atom.